(1)
The following is a DFT calculation (GGA-PBE) of an optimized crystal structure of MgNiRh.

* ρ: 6.9 g cm⁻³
* calculated formation energy: -0.089 eV/atom

Unit cell a=2.789 b=11.710 c=5.469 alpha=90.00 beta=90.00 gamma=90.00
Space group Cmcm (No. 63)
One atom of each set of equivalent atoms:
Mg1 0.000 0.167 0.250 x4
Ni1 0.000 0.138 0.750 x4
Rh1 0.000 0.500 0.000 x4

---

(2)
The following is a DFT calculation (GGA-PBE) of an optimized crystal structure of Mg3Ni2Rh.

* ρ: 5.6 g cm⁻³
* calculated formation energy: -0.287 eV/atom

Unit cell a=4.3359 b=4.3359 c=10.6621 alpha=90.00 beta=90.00 gamma=120.00
Space group P-3m1 (No. 164)
One atom of each set of equivalent atoms:
Mg1 0.0000 0.0000 0.2487 x2
Mg2 0.3333 0.6667 0.4168 x2
Mg3 0.3333 0.6667 0.9179 x2
Ni1 0.0000 0.0000 0.0000 x1
Ni2 0.0000 0.0000 0.5000 x1
Ni3 0.3333 0.6667 0.1646 x2
Rh1 0.3333 0.6667 0.6685 x2